#1
Here is Sc3TlP at its PBEsol-relaxed geometry from the Alexandria database. Energies are from meta-GGA SCAN.

It has space group Pm-3m (No. 221), with a = 4.833 Å, b = 4.833 Å, c = 4.833 Å, α = 90.00°, β = 90.00° and γ = 90.00°. The inequivalent atoms are Sc at (0.000, 0.000, 0.500), Tl at (0.500, 0.500, 0.500) and P at (0.000, 0.000, 0.000).

The value obtained for the size of the total moment is 0.0000 μB/atom. For the density of states at the Fermi level, the calculation gives 2.00 states/eV/cell.

=====

#2
Here is Sc3TlP at its PBEsol-relaxed geometry from the Alexandria database. Energies are from meta-GGA SCAN.

It has space group P2_1/m (No. 11), with a = 6.429 Å, b = 3.926 Å, c = 8.387 Å, α = 90.00°, β = 99.60° and γ = 90.00°. The inequivalent atoms are Sc at (0.030, 0.250, 0.172), Sc at (0.335, 0.750, 0.406), Sc at (0.468, 0.750, 0.836), Tl at (0.171, 0.250, 0.622) and P at (0.264, 0.750, 0.088).

The value obtained for the size of the total moment is 0.0013 μB/atom. For the density of states at the Fermi level, the calculation gives 9.76 states/eV/cell.

=====

Which of the structures shown above is the most stable? The most stable is #2.